Record 1
NaLi2SeO4 GGA-PBE relaxed; ρ = 3.02 g/cm³; raw formation energy = -1.337 eV/atom
1.0
6.7490 0.5601 0.0386
0.5484 6.7525 0.0378
-3.5360 -3.5426 4.3266
O Na Se Li
8 2 2 4
direct
0.3124 0.7015 0.5386
0.3546 0.3304 0.5968
0.7085 0.2581 0.4821
0.7753 0.7731 0.4995
0.2419 0.7916 0.0180
0.7270 0.7247 0.0004
0.7982 0.1873 0.9613
0.1696 0.1454 0.9033
0.9794 0.4550 0.4724
0.0451 0.5206 0.0275
0.9886 0.9858 0.8990
0.5142 0.5113 0.6010
0.5123 0.5944 0.0525
0.9058 0.9877 0.4475
0.4598 0.9929 0.0001
0.5072 0.0404 0.4998


Record 2
Na5LiSeO2 GGA-PBE relaxed; ρ = 2.17 g/cm³; raw formation energy = -1.231 eV/atom
1.0
4.5666 0.0000 0.0000
0.0000 4.5666 0.0000
0.0000 0.0000 8.5485
Li Na O Se
1 5 2 1
direct
0.0000 0.0000 0.0000
0.0000 0.0000 0.5000
0.5000 0.0000 0.7368
0.5000 0.0000 0.2632
0.0000 0.5000 0.7368
0.0000 0.5000 0.2632
0.0000 0.0000 0.7895
0.0000 0.0000 0.2105
0.5000 0.5000 0.5000


Record 3
NaLi3Se4O12 GGA-PBE relaxed; ρ = 3.16 g/cm³; raw formation energy = -0.780 eV/atom
1.0
6.9469 -0.0978 -0.1359
-1.7687 6.7187 -0.1359
-1.7687 -2.2615 6.3281
O Se Li Na
12 4 3 1
direct
0.1068 0.8932 0.5000
0.6399 0.7803 0.0143
0.0143 0.6399 0.7803
0.9857 0.2197 0.3601
0.2197 0.3601 0.9857
0.3601 0.9857 0.2197
0.8932 0.5000 0.1068
0.6548 0.5000 0.3452
0.5000 0.3452 0.6548
0.5000 0.1068 0.8932
0.3452 0.6548 0.5000
0.7803 0.0143 0.6399
0.5000 0.5000 0.5000
0.5000 0.9532 0.0468
0.0468 0.5000 0.9532
0.9532 0.0468 0.5000
0.0000 0.5535 0.4465
0.5535 0.4465 0.0000
0.4465 0.0000 0.5535
0.0000 0.0000 0.0000


Record 4
NaLiSeO4 GGA-PBE relaxed; ρ = 2.63 g/cm³; raw formation energy = -1.383 eV/atom
1.0
-4.3759 1.0710 2.8342
2.7770 -0.5735 4.5042
1.6778 3.5074 -3.7325
Se Na O Li
1 1 4 1
direct
0.2500 0.7500 0.5000
0.0000 0.0000 0.0000
0.2174 0.0812 0.7449
0.5276 0.6637 0.7449
0.9188 0.4724 0.2551
0.3363 0.7826 0.2551
0.5000 0.5000 0.0000


Record 5
NaLi2SiO4 GGA-PBE relaxed; ρ = 2.36 g/cm³; raw formation energy = -2.102 eV/atom
1.0
4.9892 1.0588 0.0000
-0.7636 5.0428 0.0000
-2.1128 -3.0508 3.4988
Li Na O Si
2 1 4 1
direct
0.2500 0.7500 0.5000
0.7500 0.2500 0.5000
0.5000 0.5000 0.0000
0.6797 0.6797 0.6171
0.3203 0.9374 0.0000
0.0626 0.0626 0.3829
0.9374 0.3203 0.0000
0.0000 0.0000 0.0000


Record 6
NaLi3SiO4 GGA-PBE relaxed; ρ = 2.38 g/cm³; raw formation energy = -2.319 eV/atom
1.0
-5.2045 -8.0264 -2.9627
8.7078 1.2149 -4.7944
3.1594 -0.4608 9.4918
Li O Na Si
24 32 8 8
direct
0.6357 0.5804 0.9486
0.3213 0.2988 0.6605
0.1383 0.7276 0.5488
0.8213 0.4107 0.2724
0.3643 0.3129 0.9447
0.3682 0.0553 0.4196
0.6294 0.8479 0.1577
0.1318 0.6947 0.8304
0.1787 0.4512 0.5895
0.3098 0.7815 0.1521
0.8617 0.4105 0.5893
0.3617 0.0224 0.7012
0.6383 0.3395 0.6607
0.1294 0.2217 0.0315
0.8643 0.1696 0.3014
0.8706 0.9021 0.0923
0.6787 0.3393 0.9776
0.1357 0.4371 0.3053
0.8098 0.9077 0.7783
0.8682 0.6986 0.5629
0.3706 0.5283 0.2185
0.1902 0.9685 0.0979
0.6318 0.0514 0.6871
0.6902 0.8423 0.4717
0.5910 0.1094 0.8656
0.4090 0.2746 0.5185
0.2439 0.1344 0.7254
0.9090 0.6406 0.3844
0.8144 0.5645 0.6741
0.3144 0.8903 0.4999
0.8768 0.1268 0.9025
0.7392 0.0068 0.0745
0.7561 0.4815 0.8906
0.1096 0.2499 0.4355
0.7243 0.9999 0.3768
0.2243 0.0975 0.9744
0.6232 0.6232 0.3475
0.1232 0.0256 0.2499
0.2608 0.3353 0.2676
0.7439 0.2685 0.3594
0.1856 0.8597 0.7501
0.7757 0.7501 0.8732
0.2561 0.6156 0.5246
0.8904 0.3259 0.1403
0.0677 0.7324 0.9932
0.3768 0.7244 0.0001
0.6096 0.4241 0.1097
0.5677 0.8245 0.5853
0.9323 0.9255 0.6647
0.2392 0.4147 0.9824
0.6856 0.1855 0.5759
0.3904 0.5001 0.8145
0.2757 0.6525 0.2756
0.0910 0.4754 0.7315
0.4323 0.0176 0.2568
0.7608 0.7432 0.1755
0.0441 0.7531 0.2375
0.4844 0.2910 0.2469
0.9844 0.9875 0.4434
0.5441 0.5566 0.5410
0.4559 0.9969 0.0125
0.5156 0.7625 0.8066
0.9559 0.1934 0.7090
0.0156 0.4590 0.0031
0.8576 0.6385 0.8591
0.3576 0.7485 0.4691
0.2794 0.5309 0.8885
0.6424 0.1115 0.3909
0.7794 0.1409 0.9985
0.7206 0.6091 0.2515
0.2206 0.2191 0.3615
0.1424 0.0015 0.7809


Record 7
Na2LiSiO4 GGA-PBE relaxed; ρ = 2.59 g/cm³; raw formation energy = -1.911 eV/atom
1.0
5.3631 0.0000 0.0000
2.6815 4.1624 0.0000
2.6815 0.0000 4.1624
Na Li O Si
2 1 4 1
direct
0.0000 0.5000 0.5000
0.5000 0.5000 0.5000
0.0000 0.0000 0.0000
0.5410 0.0000 0.3075
0.4590 0.6925 0.0000
0.8485 0.0000 0.6925
0.1515 0.3075 0.0000
0.5000 0.0000 0.0000


Record 8
NaLiSiO3 GGA-PBE relaxed; ρ = 2.80 g/cm³; raw formation energy = -2.329 eV/atom
1.0
4.9384 0.0000 0.0000
0.0000 5.1837 0.0000
0.0000 -2.5919 4.9141
O Li Na Si
6 2 2 2
direct
0.0000 0.2221 0.0000
0.0000 0.7779 0.0000
0.5000 0.7779 0.0000
0.7500 0.7782 0.5565
0.2500 0.2218 0.4435
0.5000 0.2221 0.0000
0.7500 0.5810 0.1621
0.2500 0.4190 0.8379
0.2500 0.7337 0.4674
0.7500 0.2663 0.5326
0.2500 0.0554 0.1107
0.7500 0.9446 0.8893


What did the first record say?
NaLi2SeO4 GGA-PBE relaxed; ρ = 3.02 g/cm³; raw formation energy = -1.337 eV/atom
1.0
6.7490 0.5601 0.0386
0.5484 6.7525 0.0378
-3.5360 -3.5426 4.3266
O Na Se Li
8 2 2 4
direct
0.3124 0.7015 0.5386
0.3546 0.3304 0.5968
0.7085 0.2581 0.4821
0.7753 0.7731 0.4995
0.2419 0.7916 0.0180
0.7270 0.7247 0.0004
0.7982 0.1873 0.9613
0.1696 0.1454 0.9033
0.9794 0.4550 0.4724
0.0451 0.5206 0.0275
0.9886 0.9858 0.8990
0.5142 0.5113 0.6010
0.5123 0.5944 0.0525
0.9058 0.9877 0.4475
0.4598 0.9929 0.0001
0.5072 0.0404 0.4998


- Which of these has the lowest ρ?
  Na5LiSeO2


- The highest raw formation energy belongs to which entry?
  NaLi3Se4O12


Repeat the sixth record exactly.
NaLi3SiO4 GGA-PBE relaxed; ρ = 2.38 g/cm³; raw formation energy = -2.319 eV/atom
1.0
-5.2045 -8.0264 -2.9627
8.7078 1.2149 -4.7944
3.1594 -0.4608 9.4918
Li O Na Si
24 32 8 8
direct
0.6357 0.5804 0.9486
0.3213 0.2988 0.6605
0.1383 0.7276 0.5488
0.8213 0.4107 0.2724
0.3643 0.3129 0.9447
0.3682 0.0553 0.4196
0.6294 0.8479 0.1577
0.1318 0.6947 0.8304
0.1787 0.4512 0.5895
0.3098 0.7815 0.1521
0.8617 0.4105 0.5893
0.3617 0.0224 0.7012
0.6383 0.3395 0.6607
0.1294 0.2217 0.0315
0.8643 0.1696 0.3014
0.8706 0.9021 0.0923
0.6787 0.3393 0.9776
0.1357 0.4371 0.3053
0.8098 0.9077 0.7783
0.8682 0.6986 0.5629
0.3706 0.5283 0.2185
0.1902 0.9685 0.0979
0.6318 0.0514 0.6871
0.6902 0.8423 0.4717
0.5910 0.1094 0.8656
0.4090 0.2746 0.5185
0.2439 0.1344 0.7254
0.9090 0.6406 0.3844
0.8144 0.5645 0.6741
0.3144 0.8903 0.4999
0.8768 0.1268 0.9025
0.7392 0.0068 0.0745
0.7561 0.4815 0.8906
0.1096 0.2499 0.4355
0.7243 0.9999 0.3768
0.2243 0.0975 0.9744
0.6232 0.6232 0.3475
0.1232 0.0256 0.2499
0.2608 0.3353 0.2676
0.7439 0.2685 0.3594
0.1856 0.8597 0.7501
0.7757 0.7501 0.8732
0.2561 0.6156 0.5246
0.8904 0.3259 0.1403
0.0677 0.7324 0.9932
0.3768 0.7244 0.0001
0.6096 0.4241 0.1097
0.5677 0.8245 0.5853
0.9323 0.9255 0.6647
0.2392 0.4147 0.9824
0.6856 0.1855 0.5759
0.3904 0.5001 0.8145
0.2757 0.6525 0.2756
0.0910 0.4754 0.7315
0.4323 0.0176 0.2568
0.7608 0.7432 0.1755
0.0441 0.7531 0.2375
0.4844 0.2910 0.2469
0.9844 0.9875 0.4434
0.5441 0.5566 0.5410
0.4559 0.9969 0.0125
0.5156 0.7625 0.8066
0.9559 0.1934 0.7090
0.0156 0.4590 0.0031
0.8576 0.6385 0.8591
0.3576 0.7485 0.4691
0.2794 0.5309 0.8885
0.6424 0.1115 0.3909
0.7794 0.1409 0.9985
0.7206 0.6091 0.2515
0.2206 0.2191 0.3615
0.1424 0.0015 0.7809